Mn2ReH2 | SCAN | single point on PBEsol structure

Properties
The magnetic moment is 4.002 μB per formula unit. The electronic total energy comes out at -22.923 eV/atom.

Cell: 2.690 2.690 6.022 Å, 102.90 102.90 90.00°
Last column: magnetic moment on the atom in μB.
Positions (direct):
H: 0.750 0.250 0.500  -0.03
H: 0.250 0.750 0.500  -0.03
Mn: 0.654 0.654 0.308  2.40
Mn: 0.346 0.346 0.692  2.40
Re: 0.000 0.000 0.000  -0.65


BaLaCl | SCAN | single point on PBEsol structure

Properties
The magnetic moment is 0.000 μB per formula unit. The electronic total energy comes out at -31.258 eV/atom. The uncorrected formation energy comes out at -1.047 eV/atom.

Cell: 3.868 3.868 7.990 Å, 97.81 97.81 116.00°
Positions (direct):
Cl: 0.673 0.673 0.346
Ba: 0.014 0.014 0.028
La: 0.313 0.313 0.626


Na2CuP2O7 | SCAN | single point on PBEsol structure

Properties
The magnetic moment is 0.964 μB per formula unit. The electronic total energy comes out at -9.562 eV/atom. The uncorrected formation energy comes out at -2.225 eV/atom.

Cell: 5.076 8.861 13.479 Å, 90.00 90.00 93.14°
Last column: magnetic moment on the atom in μB.
Positions (direct):
P: 0.729 0.456 0.823  0.00
P: 0.204 0.725 0.536  0.00
P: 0.704 0.225 0.964  0.00
P: 0.771 0.044 0.323  0.00
P: 0.796 0.275 0.464  0.00
P: 0.229 0.956 0.677  0.00
P: 0.296 0.775 0.036  0.00
P: 0.271 0.544 0.177  0.00
Na: 0.265 0.846 0.291  0.00
Na: 0.235 0.654 0.791  0.00
Na: 0.216 0.131 0.113  0.00
Na: 0.784 0.869 0.887  0.00
Na: 0.735 0.154 0.709  0.00
Na: 0.716 0.631 0.387  0.00
Na: 0.284 0.369 0.613  0.00
Na: 0.765 0.346 0.209  0.00
O: 0.876 0.149 0.885  0.06
O: 0.590 0.825 0.051  0.06
O: 0.689 0.623 0.817  0.01
O: 0.124 0.851 0.115  0.06
O: 0.376 0.649 0.615  0.06
O: 0.003 0.586 0.221  0.05
O: 0.410 0.175 0.949  0.06
O: 0.497 0.914 0.721  0.05
O: 0.624 0.351 0.385  0.06
O: 0.003 0.856 0.724  0.06
O: 0.497 0.644 0.224  0.06
O: 0.997 0.144 0.276  0.06
O: 0.794 0.208 0.069  0.01
O: 0.503 0.086 0.279  0.05
O: 0.189 0.123 0.683  0.01
O: 0.206 0.792 0.931  0.01
O: 0.811 0.877 0.317  0.01
O: 0.090 0.325 0.449  0.06
O: 0.266 0.593 0.061  0.00
O: 0.234 0.907 0.561  0.00
O: 0.997 0.414 0.779  0.05
O: 0.503 0.356 0.776  0.06
O: 0.910 0.675 0.551  0.06
O: 0.734 0.407 0.939  0.00
O: 0.766 0.093 0.439  0.00
O: 0.706 0.292 0.569  0.01
O: 0.294 0.708 0.431  0.01
O: 0.311 0.377 0.183  0.01
Cu: 0.703 0.760 0.655  0.71
Cu: 0.203 0.260 0.845  0.71
Cu: 0.297 0.240 0.345  0.71
Cu: 0.797 0.740 0.155  0.71


The following D(E_F) values (in states/eV per cell) correspond, in order, to the records above: 3.10; 2.11; 0.00.